# 1
# ScAg2Te3, optimized geometry, DFT GGA-PBE
# Energy relative to the elements, uncorrected: -2.938 eV per formula unit
# Raw total energy: -4.066 eV/atom
# Size of the total moment: 0.000 μB/atom
data_ScAg2Te3
_chemical_formula_sum 'Sc2 Ag4 Te6'
_cell_length_a 8.268
_cell_length_b 3.841
_cell_length_c 11.519
_cell_angle_alpha 90.00
_cell_angle_beta 101.62
_cell_angle_gamma 90.00
_space_group_name_H-M_alt 'P 1 21/m 1'
_space_group_IT_number 11
loop_
_space_group_symop_operation_xyz
'x,y,z'
'-x,-y,-z'
'-x,y+1/2,-z'
'x,-y+1/2,z'
loop_
_atom_site_label
_atom_site_type_symbol
_atom_site_fract_x
_atom_site_fract_y
_atom_site_fract_z
Sc1 Sc 0.230 0.250 0.205
Ag1 Ag 0.055 0.250 0.920
Ag2 Ag 0.391 0.750 0.424
Te1 Te 0.052 0.750 0.327
Te2 Te 0.294 0.750 0.026
Te3 Te 0.425 0.750 0.679

---

# 2
# Eu2ScAu, optimized geometry, DFT GGA-PBE
# Raw total energy: -7.806 eV/atom
# Energy relative to the elements: -0.266 eV per atom
# Size of the total moment: 3.832 μB/atom
data_Eu2ScAu
_chemical_formula_sum 'Eu2 Sc1 Au1'
_cell_length_a 3.731
_cell_length_b 3.731
_cell_length_c 8.441
_cell_angle_alpha 90.00
_cell_angle_beta 90.00
_cell_angle_gamma 90.00
_space_group_name_H-M_alt 'P 4/m m m'
_space_group_IT_number 123
_space_group_name_Hall '-P 4 2'
loop_
_atom_site_label
_atom_site_type_symbol
_atom_site_fract_x
_atom_site_fract_y
_atom_site_fract_z
Eu1 Eu 0.000 0.000 0.214
Sc1 Sc 0.500 0.500 0.500
Au1 Au 0.500 0.500 0.000

---

# 3
# BaNbN, optimized geometry, DFT GGA-PBE
# Energy relative to the elements, uncorrected: 0.823 eV per formula unit
# Raw total energy: -6.498 eV/atom
# Size of the total moment: 0.000 μB/atom
data_BaNbN
_chemical_formula_sum 'Ba4 Nb4 N4'
_cell_length_a 12.421
_cell_length_b 3.493
_cell_length_c 6.053
_cell_angle_alpha 90.00
_cell_angle_beta 90.00
_cell_angle_gamma 90.00
_space_group_name_H-M_alt 'A m m 2'
_space_group_IT_number 38
loop_
_space_group_symop_operation_xyz
'x,y,z'
'-x,-y,z'
'-x,y,z'
'x,-y,z'
'x,y+1/2,z+1/2'
'-x,-y+1/2,z+1/2'
'-x,y+1/2,z+1/2'
'x,-y+1/2,z+1/2'
loop_
_atom_site_label
_atom_site_type_symbol
_atom_site_fract_x
_atom_site_fract_y
_atom_site_fract_z
Ba1 Ba 0.133 0.000 0.000
Nb1 Nb 0.405 0.000 0.329
N1 N 0.000 0.000 0.333
N2 N 0.500 0.000 0.996

---

# 4
# BaO, optimized geometry, DFT GGA-PBE
# Energy relative to the elements, uncorrected: -4.718 eV per formula unit
# Raw total energy: -5.800 eV/atom
# Size of the total moment: 0.000 μB/atom
data_BaO
_chemical_formula_sum 'Ba8 O8'
_cell_length_a 11.523
_cell_length_b 11.523
_cell_length_c 4.462
_cell_angle_alpha 90.00
_cell_angle_beta 90.00
_cell_angle_gamma 90.00
_space_group_name_H-M_alt 'P 4/m'
_space_group_IT_number 83
loop_
_space_group_symop_operation_xyz
'x,y,z'
'-x,-y,-z'
'-y,x,z'
'y,-x,-z'
'-x,-y,z'
'x,y,-z'
'y,-x,z'
'-y,x,-z'
loop_
_atom_site_label
_atom_site_type_symbol
_atom_site_fract_x
_atom_site_fract_y
_atom_site_fract_z
Ba1 Ba 0.108 0.371 0.000
Ba2 Ba 0.229 0.611 0.500
O1 O 0.115 0.597 0.000
O2 O 0.223 0.384 0.500

---

Question: Which formula does entry 2 have?
Answer: Eu2ScAu